1.
Tb3Sm2HoAs6 after structural relaxation, computed with PBE.

Its crystal system is monoclinic. The value obtained for the formation energy from the elements is -148 kJ/mol of atoms.

Cell and atoms, written as POSCAR:
```
Tb3Sm2HoAs6
1.0
9.060 -2.080 0.000
9.060 2.080 0.000
-1.906 0.000 8.093
Tb Sm Ho As
3 2 1 6
Cartesian
0.000 0.000 0.000
4.764 0.000 5.392
11.451 0.000 2.701
5.732 0.000 1.356
10.482 0.000 6.737
-0.953 0.000 4.046
2.838 0.000 0.695
1.900 0.000 4.690
7.610 0.000 6.049
8.604 0.000 2.044
14.314 0.000 3.403
13.376 0.000 7.398
```

---

2.
LaSiS2 after structural relaxation, computed with PBE.

Its crystal system is trigonal. As for the total energy: -5.47 eV/atom.

Cell and atoms, written as POSCAR:
```
LaSiS2
1.0
2.100 1.212 7.982
-2.100 1.212 7.982
0.000 -2.425 7.982
La Si S
1 1 2
Cartesian
0.000 0.000 0.000
0.000 0.000 11.973
0.000 0.000 9.522
0.000 0.000 14.424
```

---

3.
NaDy5Se8 after structural relaxation, computed with PBE.

Its crystal system is cubic. As for the total energy: -5.50 eV/atom.

Cell and atoms, written as POSCAR:
```
NaDy5Se8
1.0
0.000 5.981 5.981
5.981 0.000 5.981
5.981 5.981 0.000
Na Dy Se
1 5 8
Cartesian
0.000 0.000 0.000
4.427 4.427 4.427
7.535 7.535 4.427
7.535 4.427 7.535
8.971 8.971 8.971
4.427 7.535 7.535
1.614 1.614 1.614
4.367 4.367 1.614
4.367 1.614 4.367
7.379 4.583 4.583
1.614 4.367 4.367
4.583 7.379 4.583
4.583 4.583 7.379
7.379 7.379 7.379
```

---

4.
BiPdPt after structural relaxation, computed with PBE.

Its crystal system is monoclinic. As for the energy above the most stable polymorph in this dataset: 16 meV/atom. The value obtained for the formation energy from the elements is -19 kJ/mol of atoms.

Cell and atoms, written as POSCAR:
```
BiPdPt
1.0
4.298 0.000 0.000
0.000 5.718 0.000
-2.143 0.000 4.800
Bi Pd Pt
2 2 2
Cartesian
0.005 0.000 1.815
2.151 2.859 2.984
0.006 4.148 4.526
2.150 1.288 0.274
-0.003 2.964 1.118
2.158 0.105 3.682
```

---

Table of magnetization (μB/f.u.), in record order: 0.0 0.0 0.0 0.0